VASP calculation (PBE) on a relaxed structure of K4SrBr.

Computed properties:
volume	377	Å³ per cell
E	-1.42	eV per atom

Cell and atoms, written as POSCAR:
```
K4SrBr
1.0
-0.562 -7.105 3.860
-6.789 -1.918 3.990
-4.887 -5.795 -2.868
K Sr Br
4 1 1
direct
0.877 0.374 0.374
0.374 0.374 0.877
0.374 0.877 0.374
0.374 0.374 0.374
0.750 0.750 0.750
0.000 0.000 0.000
```